Record 1
CeTm2Te | Alexandria via LeMat-Bulk | PBE | optimized geometry; formation energy from raw total energies = -47.6 kJ per mole of atoms; polymorph energy (0 for the lowest one) = 0 meV/atom; size of the total moment = 0.141 μB per atom; E = -19.99 eV per formula unit; crystal system = tetragonal
1.0
3.794 0.000 0.000
0.000 3.794 0.000
0.000 0.000 7.845
Ce Tm Te
1 2 1
Direct
0.000 0.000 0.000 Ce
0.500 0.500 0.275 Tm
0.500 0.500 0.725 Tm
0.000 0.000 0.500 Te

---

Record 2
Co2BTe | Alexandria via LeMat-Bulk | PBE | optimized geometry; formation energy from raw total energies = 28.3 kJ per mole of atoms; size of the total moment = 0.000 μB per atom; E = -22.86 eV per formula unit; crystal system = tetragonal
1.0
-2.339 2.339 5.482
2.339 -2.339 5.482
2.339 2.339 -5.482
Co B Te
4 2 2
Direct
0.013 0.625 0.888 Co
0.375 0.263 0.388 Co
0.737 0.125 0.112 Co
0.875 0.987 0.612 Co
0.000 0.000 0.000 B
0.750 0.250 0.500 B
0.250 0.750 0.500 Te
0.500 0.500 0.000 Te